[1]
Entry from Alexandria: a crystal of Ru3IF relaxed with PBEsol (meta-GGA SCAN).

Geometry as POSCAR:
```
Ru3IF
1.0
4.813 0.000 0.000
0.000 4.813 0.000
0.000 0.000 4.813
Ru I F
3 1 1
Direct
0.000 0.000 0.500
0.000 0.500 0.000
0.500 0.000 0.000
0.000 0.000 0.000
0.500 0.500 0.500
```

Calculated values
Magnetic moment, μB/f.u.: 4.86
Energy, eV per atom: -27.172
Raw formation energy, eV/atom: 1.78
Symmetry: No. 221

=====

[2]
Entry from Alexandria: a crystal of Sb2SIF relaxed with PBEsol (meta-GGA SCAN).

Geometry as POSCAR:
```
Sb2SIF
1.0
5.107 0.000 0.000
0.000 5.107 0.000
0.000 0.000 5.434
Sb S I F
2 1 1 1
Direct
0.000 0.500 0.000
0.500 0.000 0.000
0.000 0.000 0.000
0.000 0.000 0.500
0.500 0.500 0.500
```

Calculated values
Magnetic moment, μB/f.u.: 0.00
Energy, eV per atom: -24.454
Raw formation energy, eV/atom: 0.43
Symmetry: No. 123

=====

[3]
Entry from Alexandria: a crystal of Te2SIF relaxed with PBEsol (meta-GGA SCAN).

Geometry as POSCAR:
```
Te2SIF
1.0
5.169 0.000 0.000
0.000 5.169 0.000
0.000 0.000 5.235
Te S I F
2 1 1 1
Direct
0.000 0.500 0.000
0.500 0.000 0.000
0.000 0.000 0.000
0.000 0.000 0.500
0.500 0.500 0.500
```

Calculated values
Magnetic moment, μB/f.u.: 1.98
Energy, eV per atom: -24.451
Raw formation energy, eV/atom: 0.43
Symmetry: No. 123

=====

[4]
Entry from Alexandria: a crystal of Sb2I2F11 relaxed with PBEsol (meta-GGA SCAN).

Geometry as POSCAR:
```
Sb2I2F11
1.0
6.525 -4.291 0.000
6.525 4.291 0.000
-1.551 0.000 4.823
Sb I F
2 2 11
Direct
0.153 0.153 0.476
0.847 0.847 0.524
0.431 0.449 0.167
0.551 0.569 0.833
0.019 0.764 0.840
0.028 0.972 0.500
0.061 0.310 0.799
0.236 0.981 0.160
0.283 0.311 0.461
0.365 0.006 0.702
0.689 0.717 0.539
0.690 0.939 0.201
0.722 0.080 0.736
0.920 0.278 0.264
0.994 0.635 0.298
```

Calculated values
Magnetic moment, μB/f.u.: 0.37
Energy, eV per atom: -14.472
Raw formation energy, eV/atom: -2.01
Symmetry: No. 5

=====

[5]
Entry from Alexandria: a crystal of SbI2F relaxed with PBEsol (meta-GGA SCAN).

Geometry as POSCAR:
```
SbI2F
1.0
-3.823 3.823 3.879
3.823 -3.823 3.879
3.823 3.823 -3.879
Sb I F
2 4 2
Direct
0.000 0.000 0.000
0.750 0.250 0.500
0.140 0.625 0.015
0.375 0.390 0.515
0.610 0.125 0.985
0.875 0.860 0.485
0.250 0.750 0.500
0.500 0.500 0.000
```

Calculated values
Magnetic moment, μB/f.u.: 0.00
Energy, eV per atom: -28.817
Raw formation energy, eV/atom: -0.25
Symmetry: No. 122

=====

[6]
Entry from Alexandria: a crystal of SbI2F6 relaxed with PBEsol (meta-GGA SCAN).

Geometry as POSCAR:
```
SbI2F6
1.0
5.933 0.000 0.000
1.045 7.878 0.000
1.293 1.584 7.971
Sb I F
2 4 12
Direct
0.050 0.202 0.187
0.950 0.798 0.813
0.391 0.254 0.564
0.395 0.590 0.267
0.605 0.410 0.733
0.609 0.746 0.436
0.082 0.683 0.008
0.089 0.624 0.690
0.193 0.094 0.385
0.207 0.926 0.732
0.211 0.026 0.079
0.309 0.336 0.117
0.691 0.664 0.883
0.789 0.974 0.921
0.793 0.074 0.268
0.807 0.906 0.615
0.911 0.376 0.310
0.918 0.317 0.992
```

Calculated values
Magnetic moment, μB/f.u.: 0.00
Energy, eV per atom: -16.483
Raw formation energy, eV/atom: -1.82
Symmetry: No. 2

=====

[7]
Entry from Alexandria: a crystal of SrSb2IF relaxed with PBEsol (meta-GGA SCAN).

Geometry as POSCAR:
```
SrSb2IF
1.0
4.700 0.000 0.000
0.000 4.700 0.000
0.000 0.000 6.228
Sr Sb I F
1 2 1 1
Direct
0.000 0.000 0.000
0.000 0.500 0.500
0.500 0.000 0.500
0.500 0.500 0.000
0.500 0.500 0.500
```

Calculated values
Magnetic moment, μB/f.u.: 0.00
Energy, eV per atom: -28.258
Raw formation energy, eV/atom: -0.84
Symmetry: No. 123

=====

[8]
Entry from Alexandria: a crystal of TcSbI2F relaxed with PBEsol (meta-GGA SCAN).

Geometry as POSCAR:
```
TcSbI2F
1.0
5.428 0.000 0.000
0.000 5.428 0.000
0.000 0.000 4.019
Tc Sb I F
1 1 2 1
Direct
0.000 0.000 0.000
0.500 0.500 0.500
0.000 0.500 0.000
0.500 0.000 0.000
0.000 0.000 0.500
```

Calculated values
Magnetic moment, μB/f.u.: 2.28
Energy, eV per atom: -29.945
Raw formation energy, eV/atom: -0.08
Symmetry: No. 123

=====

[9]
Entry from Alexandria: a crystal of TcSbI2F relaxed with PBEsol (meta-GGA SCAN).

Geometry as POSCAR:
```
TcSbI2F
1.0
5.283 0.000 0.000
0.000 5.283 0.000
0.000 0.000 5.073
Tc Sb I F
1 1 2 1
Direct
0.000 0.000 0.000
0.000 0.000 0.500
0.000 0.500 0.000
0.500 0.000 0.000
0.500 0.500 0.500
```

Calculated values
Magnetic moment, μB/f.u.: 2.42
Energy, eV per atom: -29.628
Raw formation energy, eV/atom: 0.24
Symmetry: No. 123

=====

[10]
Entry from Alexandria: a crystal of SbTeI3F6 relaxed with PBEsol (meta-GGA SCAN).

Geometry as POSCAR:
```
SbTeI3F6
1.0
8.423 0.000 0.000
0.000 10.661 0.000
-2.134 0.000 12.700
Sb Te I F
4 4 12 24
Direct
0.180 0.216 0.083
0.180 0.284 0.583
0.820 0.716 0.417
0.820 0.784 0.917
0.181 0.677 0.700
0.181 0.823 0.200
0.819 0.177 0.800
0.819 0.323 0.300
0.235 0.585 0.264
0.235 0.915 0.764
0.279 0.546 0.877
0.279 0.954 0.377
0.440 0.654 0.604
0.440 0.846 0.104
0.560 0.154 0.896
0.560 0.346 0.396
0.721 0.046 0.623
0.721 0.454 0.123
0.765 0.085 0.236
0.765 0.415 0.736
0.025 0.748 0.001
0.025 0.752 0.501
0.101 0.053 0.112
0.101 0.218 0.704
0.101 0.282 0.204
0.101 0.447 0.612
0.248 0.149 0.960
0.248 0.351 0.460
0.257 0.122 0.554
0.257 0.378 0.054
0.381 0.177 0.166
0.381 0.323 0.666
0.619 0.677 0.334
0.619 0.823 0.834
0.743 0.622 0.946
0.743 0.878 0.446
0.752 0.649 0.540
0.752 0.851 0.040
0.899 0.553 0.388
0.899 0.718 0.796
0.899 0.782 0.296
0.899 0.947 0.888
0.975 0.248 0.499
0.975 0.252 0.999
```

Calculated values
Magnetic moment, μB/f.u.: 0.00
Energy, eV per atom: -20.322
Raw formation energy, eV/atom: -1.60
Symmetry: No. 14

=====

[11]
Entry from Alexandria: a crystal of Sb2WIF relaxed with PBEsol (meta-GGA SCAN).

Geometry as POSCAR:
```
Sb2WIF
1.0
5.142 0.000 0.000
0.000 5.142 0.000
0.000 0.000 5.329
Sb W I F
2 1 1 1
Direct
0.000 0.500 0.000
0.500 0.000 0.000
0.000 0.000 0.000
0.000 0.000 0.500
0.500 0.500 0.500
```

Calculated values
Magnetic moment, μB/f.u.: 0.00
Energy, eV per atom: -36.529
Raw formation energy, eV/atom: 0.37
Symmetry: No. 123

=====

[12]
Entry from Alexandria: a crystal of SeIF3 relaxed with PBEsol (meta-GGA SCAN).

Geometry as POSCAR:
```
SeIF3
1.0
4.364 0.000 0.000
0.000 4.364 0.000
0.000 0.000 4.364
Se I F
1 1 3
Direct
0.000 0.000 0.000
0.500 0.500 0.500
0.000 0.000 0.500
0.000 0.500 0.000
0.500 0.000 0.000
```

Calculated values
Magnetic moment, μB/f.u.: 1.57
Energy, eV per atom: -13.997
Raw formation energy, eV/atom: -0.51
Symmetry: No. 221